Material: In3Rh
Method: DFT, PBE
State: optimized geometry

- volume (Å³/atom) = 21.05
- symmetry = Fm-3m
- D(E_F) (states/eV per cell) = 1.696
- E_form (meV/atom) = 91
- E (eV/atom) = -3.80

Lattice parameters (Å, degrees): 4.9194 4.9194 4.9194 60.00 60.00 60.00
With the nearest neighbours (Å) after each atom.
Element x y z (fractional)
In 0.2500 0.2500 0.2500  4 Rh 3.01, 4 In 3.01
In 0.0000 0.0000 0.0000  8 In 3.01
In 0.7500 0.7500 0.7500  4 In 3.01, 4 Rh 3.01
Rh 0.5000 0.5000 0.5000  8 In 3.01